The following is a DFT calculation (PBE) of a geometry-optimized SmPuIrRh structure.

abc: 4.8996 4.8996 4.8996
angles: 60.00 60.00 60.00
Fractional positions:
Sm: 0.0000 0.0000 0.0000
Pu: 0.5000 0.5000 0.5000
Ir: 0.2500 0.2500 0.2500
Rh: 0.7500 0.7500 0.7500

Calculated values
Symmetry: F-43m, No. 216
Magnetization, μB per formula unit: 4.7
Total DFT energy (no corrections), Ha/atom: -0.344


The following is a DFT calculation (PBE) of a geometry-optimized BeTc2 structure.

abc: 4.0648 4.0648 2.4833
angles: 90.00 90.00 90.00
Fractional positions:
Be: 0.0000 0.0000 0.0000
Tc: 0.0000 0.5000 0.5000
Tc: 0.5000 0.0000 0.5000

Calculated values
Symmetry: P4/mmm, No. 123
Magnetization, μB per formula unit: 0.0
Total DFT energy (no corrections), Ha/atom: -0.279
E above lowest polymorph, meV per atom: 827


The following is a DFT calculation (PBE) of a geometry-optimized La2PmGe3Pd4 structure.

abc: 4.3683 4.3683 11.3246
angles: 90.00 90.00 90.00
Fractional positions:
La: 0.0000 0.5000 0.2210
La: 0.5000 0.0000 0.7790
Pm: 0.0000 0.0000 0.5000
Ge: 0.0000 0.5000 0.8820
Ge: 0.5000 0.0000 0.1180
Ge: 0.5000 0.5000 0.5000
Pd: 0.0000 0.0000 0.0000
Pd: 0.0000 0.5000 0.6618
Pd: 0.5000 0.0000 0.3382
Pd: 0.5000 0.5000 0.0000

Calculated values
Symmetry: P-4m2, No. 115
Magnetization, μB per formula unit: 0.0
Total DFT energy (no corrections), Ha/atom: -0.212


The following is a DFT calculation (PBE) of a geometry-optimized TcHg8 structure.

abc: 7.3138 7.3138 7.3138
angles: 94.97 94.97 145.75
Fractional positions:
Tc: 0.0000 0.0000 0.0000
Hg: 0.0000 0.3289 0.3289
Hg: 0.0000 0.6711 0.6711
Hg: 0.3289 0.0000 0.3289
Hg: 0.3405 0.3405 0.6809
Hg: 0.3405 0.6595 0.0000
Hg: 0.6595 0.3405 0.0000
Hg: 0.6595 0.6595 0.3191
Hg: 0.6711 0.0000 0.6711

Calculated values
Symmetry: I4/mmm, No. 139
Magnetization, μB per formula unit: 3.4
Total DFT energy (no corrections), Ha/atom: -0.039


Q: Which formula does entry 4 have?
A: TcHg8